The following is a GGA-PBE calculation of a relaxed structure of Ca2ScIn, from Alexandria.

Properties
* total magnetic moment: 0.001 μB/atom
* ΔH_f (0 K): -0.0846 eV/atom

Cell lengths 3.5106, 4.9886, 6.7626 Å; angles 90.00, 90.00, 90.00 degrees
Fractional coordinates of all 4 atoms:
Ca1 0.0000 0.0000 0.2405
Ca2 0.0000 0.0000 0.7595
Sc1 0.5000 0.5000 0.5000
In1 0.5000 0.5000 0.0000